No. 1
# LaTb9Th2 PBE relaxed
# crystal system: tetragonal
data_LaTb9Th2
_chemical_formula_sum 'La1 Tb9 Th2'
_cell_length_a 5.056
_cell_length_b 5.056
_cell_length_c 15.184
_cell_angle_alpha 90.00
_cell_angle_beta 90.00
_cell_angle_gamma 90.00
_symmetry_space_group_name_H-M 'P 1'
_symmetry_Int_Tables_number 1
_symmetry_space_group_name_Hall 'P 1'
loop_
_atom_site_label
_atom_site_type_symbol
_atom_site_fract_x
_atom_site_fract_y
_atom_site_fract_z
Tb1 Tb 0.000 0.500 0.828
Tb2 Tb 0.500 0.500 0.665
Tb3 Tb 0.500 0.000 0.828
Tb4 Tb 0.500 0.500 0.000
Th1 Th 0.000 0.000 0.666
Tb5 Tb 0.000 0.500 0.500
Tb6 Tb 0.500 0.000 0.172
Tb7 Tb 0.500 0.000 0.500
Tb8 Tb 0.500 0.500 0.335
Th2 Th 0.000 0.000 0.334
La1 La 0.000 0.000 0.000
Tb9 Tb 0.000 0.500 0.172



No. 2
# La6Tb8Th PBE relaxed
# crystal system: trigonal
data_La6Tb8Th
_chemical_formula_sum 'La6 Tb8 Th1'
_cell_length_a 8.837
_cell_length_b 8.837
_cell_length_c 8.837
_cell_angle_alpha 62.55
_cell_angle_beta 62.55
_cell_angle_gamma 62.55
_symmetry_space_group_name_H-M 'P 1'
_symmetry_Int_Tables_number 1
_symmetry_space_group_name_Hall 'P 1'
loop_
_atom_site_label
_atom_site_type_symbol
_atom_site_fract_x
_atom_site_fract_y
_atom_site_fract_z
Tb1 Tb 0.704 0.769 0.116
La1 La 0.464 0.765 0.908
Th1 Th 0.000 0.000 0.000
La2 La 0.536 0.235 0.092
Tb2 Tb 0.423 0.423 0.423
La3 La 0.765 0.908 0.464
La4 La 0.235 0.092 0.536
La5 La 0.908 0.464 0.765
Tb3 Tb 0.769 0.116 0.704
Tb4 Tb 0.116 0.704 0.769
Tb5 Tb 0.231 0.884 0.296
Tb6 Tb 0.296 0.231 0.884
Tb7 Tb 0.884 0.296 0.231
Tb8 Tb 0.577 0.577 0.577
La6 La 0.092 0.536 0.235



no.,energy of formation (eV per atom),DOS(E_F) (states/eV/cell)
1,0.0313,15.91
2,0.1113,24.85